NbPBr2: relaxed, PBE-GGA.

a = 4.7312 Å, b = 4.7312 Å, c = 4.7312 Å
α = 60.00°, β = 60.00°, γ = 60.00°
Sites, in units of the cell vectors:
Nb (0.0000, 0.0000, 0.0000)
P (0.5000, 0.5000, 0.5000)
Br (0.2500, 0.2500, 0.2500)
Br (0.7500, 0.7500, 0.7500)

Properties
Formation energy (no corrections): 0.574 eV per atom
Spin magnetization: 0.00 μB/f.u.
Electronic total energy: -0.30372 Ry/atom
Fermi-level density of states: 0.99 states/eV per atom
Symmetry: Fm-3m